1.
This record from the Alexandria database describes an optimized crystal structure of Pm6Dy5Mg. The functional is GGA-PBE.

```
Pm6Dy5Mg
1.0
-2.713 -4.863 2.731
6.457 0.382 4.677
-2.904 5.676 4.803
Mg Dy Pm
1 5 6
Direct
0.000 0.000 0.000
0.500 0.834 0.166
0.000 0.666 0.334
0.500 0.500 0.500
0.000 0.334 0.666
0.500 0.166 0.834
0.746 0.919 0.586
0.254 0.414 0.081
0.249 0.749 0.749
0.751 0.251 0.251
0.746 0.586 0.919
0.254 0.081 0.414
```

## Properties
Its space group is No. 12. The value obtained for the formation energy is 0.02 eV per atom.



2.
This record from the Alexandria database describes an optimized crystal structure of Tb3DyPa2N6. The functional is GGA-PBE.

```
Tb3DyPa2N6
1.0
-2.697 -1.222 5.281
4.118 -3.823 -2.254
3.650 4.495 1.750
Tb Dy Pa N
3 1 2 6
Direct
0.166 0.834 0.500
0.834 0.166 0.500
0.500 0.500 0.500
0.000 0.000 0.000
0.333 0.667 0.000
0.667 0.333 0.000
0.921 0.577 0.765
0.736 0.736 0.237
0.079 0.423 0.235
0.577 0.921 0.765
0.264 0.264 0.763
0.423 0.079 0.235
```

## Properties
Its space group is No. 12. As for the energy relative to the elements, uncorrected: -1.690 eV per atom.



3.
This record from the Alexandria database describes an optimized crystal structure of Be2CdBr. The functional is GGA-PBE.

```
Be2CdBr
1.0
3.371 0.037 0.000
-1.896 2.787 0.000
0.000 0.000 8.484
Be Br Cd
2 1 1
Direct
0.000 0.000 0.042
0.500 0.500 0.233
0.000 0.000 0.415
0.500 0.500 0.810
```

## Properties
Its space group is No. 35. As for the energy relative to the elements, uncorrected: 0.442 eV per atom.



4.
This record from the Alexandria database describes an optimized crystal structure of ZrCo2Te. The functional is GGA-PBE.

```
ZrCo2Te
1.0
-1.827 -4.259 0.396
0.975 -1.744 -4.200
3.022 1.983 2.927
Co Te Zr
2 1 1
Direct
0.000 0.000 0.000
0.500 0.500 0.000
0.250 0.750 0.500
0.750 0.250 0.500
```

## Properties
Its space group is No. 139. As for the energy relative to the elements, uncorrected: -0.074 eV per atom.



5.
This record from the Alexandria database describes an optimized crystal structure of Ca2BiTe. The functional is GGA-PBE.

```
Ca2BiTe
1.0
0.000 3.952 3.952
3.952 0.000 3.952
3.952 3.952 0.000
Ca Te Bi
2 1 1
Direct
0.250 0.250 0.250
0.750 0.750 0.750
0.000 0.000 0.000
0.500 0.500 0.500
```

## Properties
Its space group is No. 225. As for the energy relative to the elements, uncorrected: -0.919 eV per atom.



6.
This record from the Alexandria database describes an optimized crystal structure of Rb2PdBr6Cl. The functional is GGA-PBE.

```
Rb2PdBr6Cl
1.0
-3.572 -6.451 -1.725
6.628 -3.187 -1.806
2.152 -6.633 3.728
Br Rb Pd Cl
6 2 1 1
Direct
0.214 0.214 0.571
0.786 0.786 0.429
0.238 0.238 0.000
0.762 0.762 0.000
0.762 0.238 0.000
0.238 0.762 0.000
0.750 0.250 0.500
0.250 0.750 0.500
0.000 0.000 0.000
0.500 0.500 0.000
```

## Properties
Its space group is No. 139. As for the energy relative to the elements, uncorrected: -0.803 eV per atom.



7.
This record from the Alexandria database describes an optimized crystal structure of TcRuCl2. The functional is GGA-PBE.

```
TcRuCl2
1.0
-2.246 0.637 -3.652
-0.011 -4.218 0.994
-1.827 2.245 3.226
Ru Tc Cl
1 1 2
Direct
0.500 0.500 0.000
0.750 0.250 0.500
0.000 0.000 0.000
0.250 0.750 0.500
```

## Properties
Its space group is No. 119. As for the energy relative to the elements, uncorrected: 0.800 eV per atom.



8.
This record from the Alexandria database describes an optimized crystal structure of Tl2Sn2As. The functional is GGA-PBE.

```
Tl2Sn2As
1.0
5.646 0.000 0.000
0.000 5.646 0.000
0.000 0.000 5.727
As Tl Sn
1 2 2
Direct
0.500 0.500 0.500
0.000 0.000 0.000
0.000 0.000 0.500
0.000 0.500 0.000
0.500 0.000 0.000
```

## Properties
Its space group is No. 123. The value obtained for the formation energy is 0.79 eV per atom.



Number 1: density 7324 kg/m³. Number 2: density 10874 kg/m³. Number 3: density 4348 kg/m³. Number 4: density 8850 kg/m³. Number 5: density 5605 kg/m³. Number 6: density 3942 kg/m³. Number 7: density 7154 kg/m³. Number 8: density 6559 kg/m³.